Below is a geometry-optimized Sm3URu4 structure, with properties calculated at the PBE level.

Cell and atoms, written as extended XYZ:
```
8
Lattice="-2.832 3.821 4.168 2.832 -3.821 4.168 2.832 3.821 -4.168" Properties=species:S:1:pos:R:3 pbc="T T T"
Sm 0.000 0.000 0.000
Sm 2.832 1.949 1.078
Sm 0.000 1.871 5.246
U 0.000 3.821 0.465
Ru 1.490 3.821 -1.416
Ru 1.342 0.000 2.752
Ru 0.000 2.411 2.367
Ru 0.000 5.231 2.367
```

Output
E_form   -178 kJ/mol of formula units
Final energy   -8.05 eV/atom
M_tot   0.00 μB per cell
Space-group type   Imm2